1.
# Th2Se2N

Th2Se2N after structural relaxation (PBE, the Alexandria database).

Distance to the lowest polymorph of the same formula (eV/f.u.): 0.00
Space group: Ibam
Formation energy from raw total energies (meV per atom): -1796

Lattice parameters (Å, degrees): 7.3930 7.3930 7.3930 124.84 75.27 133.08
Fractional coordinates of all 10 atoms:
1 Th 0.1012 0.2047 0.3059
2 Th 0.3988 0.7047 0.1035
3 Th 0.6012 0.2953 0.8965
4 Th 0.8988 0.7953 0.6941
5 Se 0.1445 0.6518 0.7963
6 Se 0.3555 0.1518 0.5073
7 Se 0.6445 0.8482 0.4927
8 Se 0.8555 0.3482 0.2037
9 N 0.2500 0.2500 0.0000
10 N 0.7500 0.7500 0.0000



2.
# Pm3Zn7Ga4

Pm3Zn7Ga4 after structural relaxation (PBE, the Alexandria database).

Space group: C2/m
Energy of formation (eV/atom): -0.441

Lattice parameters (Å, degrees): 8.2906 8.2906 9.4795 124.77 124.77 30.41
Fractional coordinates of all 14 atoms:
1 Pm 0.0000 0.0000 0.0000
2 Pm 0.3014 0.3014 0.3017
3 Pm 0.6986 0.6986 0.6983
4 Zn 0.0000 0.0000 0.5000
5 Zn 0.1448 0.1448 0.4216
6 Zn 0.3434 0.3434 0.9813
7 Zn 0.4986 0.4986 0.6921
8 Zn 0.5014 0.5014 0.3079
9 Zn 0.6566 0.6566 0.0187
10 Zn 0.8552 0.8552 0.5784
11 Ga 0.1426 0.1426 0.8631
12 Ga 0.3448 0.3448 0.7148
13 Ga 0.6552 0.6552 0.2852
14 Ga 0.8574 0.8574 0.1369



3.
# Li2MnBeH6

Li2MnBeH6 after structural relaxation (PBE, the Alexandria database).

Space group: R-3
Total energy (eV/cell): -37.76

Lattice parameters (Å, degrees): 4.5169 4.5169 4.5169 60.07 60.07 60.07
Fractional coordinates of all 10 atoms:
1 Li 0.2493 0.2493 0.2493
2 Li 0.7507 0.7507 0.7507
3 Mn 0.5000 0.5000 0.5000
4 Be 0.0000 0.0000 0.0000
5 H 0.1973 0.7566 0.2931
6 H 0.2434 0.7069 0.8027
7 H 0.2931 0.1973 0.7566
8 H 0.7069 0.8027 0.2434
9 H 0.7566 0.2931 0.1973
10 H 0.8027 0.2434 0.7069



4.
# Rb2AgBr3

Rb2AgBr3 after structural relaxation (PBE, the Alexandria database).

Distance to the lowest polymorph of the same formula (eV/f.u.): 0.00
Space group: Pnma
Formation energy from raw total energies (meV per atom): -1294

Lattice parameters (Å, degrees): 9.8395 4.7160 19.0778 90.00 90.00 90.00
Fractional coordinates of all 24 atoms:
1 Rb 0.0788 0.2500 0.2139
2 Rb 0.2476 0.2500 0.9582
3 Rb 0.2524 0.7500 0.4582
4 Rb 0.4212 0.7500 0.7139
5 Rb 0.5788 0.2500 0.2861
6 Rb 0.7476 0.2500 0.5418
7 Rb 0.7524 0.7500 0.0418
8 Rb 0.9212 0.7500 0.7861
9 Ag 0.1301 0.2500 0.6345
10 Ag 0.3699 0.7500 0.1345
11 Ag 0.6301 0.2500 0.8655
12 Ag 0.8699 0.7500 0.3655
13 Br 0.0011 0.2500 0.3998
14 Br 0.1223 0.7500 0.0720
15 Br 0.1844 0.2500 0.7752
16 Br 0.3156 0.7500 0.2752
17 Br 0.3777 0.2500 0.5720
18 Br 0.4989 0.7500 0.8998
19 Br 0.5011 0.2500 0.1002
20 Br 0.6223 0.7500 0.4280
21 Br 0.6844 0.2500 0.7248
22 Br 0.8156 0.7500 0.2248
23 Br 0.8777 0.2500 0.9280
24 Br 0.9989 0.7500 0.6002



Number 1: DOS(E_F) 1.97 states/eV/f.u., volume 23.6 A^3/atom. Number 2: DOS(E_F) 3.90 states/eV/f.u., volume 19.0 A^3/atom. Number 3: DOS(E_F) 4.67 states/eV/f.u., volume 6.5 A^3/atom. Number 4: DOS(E_F) 0.00 states/eV/f.u., volume 36.9 A^3/atom.